Arrangement 1

Compound: Al2TlIr2
Source: Alexandria
Functional: PBE
Structure: optimized geometry

Cell lengths 3.865, 3.865, 11.816 Å; angles 90.00, 90.00, 90.00 degrees
Space group I4/mmm (No. 139)
Asymmetric unit:
1 Al 0.000 0.500 0.250
2 Tl 0.000 0.000 0.000
3 Ir 0.000 0.000 0.386

---

Arrangement 2

Compound: Al2TlIr2
Source: Alexandria
Functional: PBE
Structure: optimized geometry

Cell lengths 7.482, 7.482, 2.936 Å; angles 90.00, 90.00, 90.00 degrees
Space group P4/mbm (No. 127)
Asymmetric unit:
1 Al 0.141 0.359 0.000
2 Tl 0.000 0.000 0.500
3 Ir 0.151 0.651 0.500

---

Arrangement 3

Compound: Al2TlIr2
Source: Alexandria
Functional: PBE
Structure: optimized geometry

Cell lengths 7.584, 7.584, 2.862 Å; angles 90.00, 90.00, 90.00 degrees
Space group P4/mbm (No. 127)
Asymmetric unit:
1 Al 0.137 0.363 0.000
2 Tl 0.000 0.000 0.000
3 Ir 0.152 0.652 0.500

---

Stability ranking, top and bottom: arrangement 2 is the most stable and arrangement 3 is the least stable.